A plane-wave DFT calculation with GGA-PBE was carried out for Rb2BiPdBr6 after structural relaxation.

The structure in extended XYZ format:
```
10
Lattice="-3.953 3.953 5.553 3.953 -3.953 5.553 3.953 3.953 -5.553" Properties=species:S:1:pos:R:3 pbc="T T T"
Rb 3.953 0.000 2.776
Rb 0.000 3.953 2.776
Bi 0.000 0.000 0.000
Pd 0.000 0.000 5.553
Br 2.042 2.042 0.000
Br 1.911 -1.911 5.553
Br 0.000 0.000 2.882
Br 0.000 0.000 8.224
Br -1.911 1.911 5.553
Br 1.911 1.911 5.553
```

Values from the calculation:
Spin magnetization = 0.0 μB/f.u.
Uncorrected formation energy = -0.996 eV/atom
Crystal system = tetragonal